Record 1
This record from the Alexandria database describes a PBEsol-optimized structure of GaTc3Sn. The functional is meta-GGA SCAN.

Properties
**E_form**: 1.204 eV/atom

```
5
Lattice="4.505 0.000 0.000 0.000 4.505 0.000 0.000 0.000 4.505" Properties=species:S:1:pos:R:3 pbc="T T T"
Tc 0.000 2.253 0.000
Tc 2.253 0.000 0.000
Sn 2.253 2.253 2.253
Ga 0.000 0.000 0.000
Tc 0.000 0.000 2.253
```



Record 2
This record from the Alexandria database describes a PBEsol-optimized structure of Li2MgH4. The functional is meta-GGA SCAN.

Properties
**VASP energy**: -3.7408 eV per atom

```
14
Lattice="2.901 0.000 0.000 0.000 4.855 0.000 0.000 0.000 9.139" Properties=species:S:1:pos:R:3 pbc="T T T"
Li 1.450 4.743 6.477
Mg 0.000 0.000 0.000
H 0.000 3.460 6.226
H 1.450 1.397 5.352
H 1.450 1.030 0.782
Li 1.450 2.316 7.232
Li 1.450 2.539 1.908
H 0.000 3.823 1.656
H 0.000 1.395 2.913
Mg 0.000 2.428 4.570
Li 1.450 0.112 2.662
H 1.450 3.458 3.787
H 1.450 3.825 8.357
H 0.000 1.033 7.483
```



Record 3
This record from the Alexandria database describes a PBEsol-optimized structure of LaSiHI2. The functional is meta-GGA SCAN.

Properties
**VASP energy**: -26.1201 eV per atom

```
5
Lattice="3.718 0.000 0.000 0.000 5.715 0.000 0.000 0.000 5.715" Properties=species:S:1:pos:R:3 pbc="T T T"
I 0.000 0.000 2.857
I 0.000 2.857 0.000
La 1.859 2.857 2.857
Si 0.000 0.000 0.000
H 1.859 0.000 0.000
```



Record 4
This record from the Alexandria database describes a PBEsol-optimized structure of YCrBr2. The functional is meta-GGA SCAN.

Properties
**Formation energy (no corrections)**: -0.262 eV per atom
**Energy above the lowest structure with this stoichiometry**: 0.359 eV per atom

```
4
Lattice="5.120 0.000 0.000 2.560 4.434 0.000 2.560 1.478 4.181" Properties=species:S:1:pos:R:3 pbc="T T T"
Cr 5.120 2.956 2.090
Br 0.000 0.000 0.000
Y 2.560 1.478 1.045
Br 7.680 4.434 3.136
```



Record 5
This record from the Alexandria database describes a PBEsol-optimized structure of SiNi2W. The functional is meta-GGA SCAN.

Properties
**Formation energy (no corrections)**: -0.060 eV per atom

```
4
Lattice="2.740 0.000 0.000 0.000 4.236 0.000 -1.370 -2.118 4.164" Properties=species:S:1:pos:R:3 pbc="T T T"
Si 0.000 2.118 0.000
Ni 1.370 2.118 1.903
W 1.370 0.000 0.000
Ni 0.000 0.000 2.261
```



Record 6
This record from the Alexandria database describes a PBEsol-optimized structure of Ba3LiIr2O9. The functional is meta-GGA SCAN.

Properties
**Formation energy (no corrections)**: -1.956 eV per atom

```
30
Lattice="5.754 0.000 0.000 -2.877 4.984 0.000 0.000 0.000 14.162" Properties=species:S:1:pos:R:3 pbc="T T T"
O 1.502 0.867 8.270
O 0.000 4.878 3.541
O 1.348 2.544 3.541
Ir 2.877 1.661 11.922
Ba 0.000 3.322 8.261
Li 0.000 0.000 7.081
O 1.376 4.117 5.892
O 4.253 0.867 8.270
O -1.348 2.544 3.541
O 2.877 3.250 12.973
Ba 0.000 3.322 12.982
Ir 0.000 3.322 2.240
O -1.376 4.117 1.189
Ba 2.877 1.661 1.180
Li 0.000 0.000 0.000
O 1.502 0.867 12.973
Ba 0.000 0.000 3.541
Ir 0.000 3.322 4.841
O 1.376 4.117 1.189
Ir 2.877 1.661 9.322
O 2.877 0.105 10.622
Ba 0.000 0.000 10.622
O 0.000 1.734 5.892
O 1.530 2.439 10.622
O 4.225 2.439 10.622
O 2.877 3.250 8.270
O 0.000 1.734 1.189
O 4.253 0.867 12.973
Ba 2.877 1.661 5.901
O -1.376 4.117 5.892
```



Record 7
This record from the Alexandria database describes a PBEsol-optimized structure of CaAuBr2. The functional is meta-GGA SCAN.

Properties
**Formation energy (no corrections)**: -0.917 eV per atom
**Energy above the lowest structure with this stoichiometry**: 0.052 eV per atom

```
4
Lattice="3.433 0.000 0.000 0.000 3.433 0.000 0.000 0.000 8.943" Properties=species:S:1:pos:R:3 pbc="T T T"
Br 0.000 0.000 1.701
Au 1.717 1.717 4.472
Br 0.000 0.000 7.242
Ca 1.717 1.717 0.000
```



Record 8
This record from the Alexandria database describes a PBEsol-optimized structure of LiMgIn3. The functional is meta-GGA SCAN.

Properties
**E_form**: 0.139 eV/atom

```
5
Lattice="-3.689 -2.189 -2.489 2.938 -3.884 -0.938 -1.536 -2.172 4.186" Properties=species:S:1:pos:R:3 pbc="T T T"
Li 0.000 0.000 0.000
In -1.844 -1.095 -1.245
In -0.768 -1.086 2.093
In 1.469 -1.942 -0.469
Mg -1.143 -4.123 0.379
```



Record 9
This record from the Alexandria database describes a PBEsol-optimized structure of ErAlSi. The functional is meta-GGA SCAN.

Properties
**Formation energy (no corrections)**: -0.600 eV per atom

```
6
Lattice="4.010 0.000 0.000 0.000 4.010 0.000 -2.005 -2.005 7.211" Properties=species:S:1:pos:R:3 pbc="T T T"
Si 2.005 0.000 6.037
Er 0.000 2.005 7.180
Al 2.005 2.005 4.790
Al 0.000 2.005 1.185
Si 2.005 2.005 2.431
Er 0.000 0.000 3.574
```



Record 10
This record from the Alexandria database describes a PBEsol-optimized structure of FeGeSeN2. The functional is meta-GGA SCAN.

Properties
**Formation energy (no corrections)**: 1.130 eV per atom

```
5
Lattice="3.624 0.000 0.000 0.000 3.624 0.000 0.000 0.000 5.685" Properties=species:S:1:pos:R:3 pbc="T T T"
N 0.000 1.812 0.000
Fe 1.812 1.812 2.842
Se 0.000 0.000 2.842
Ge 0.000 0.000 0.000
N 1.812 0.000 0.000
```



Record 11
This record from the Alexandria database describes a PBEsol-optimized structure of InFe2PSe. The functional is meta-GGA SCAN.

Properties
**Formation energy (no corrections)**: 1.623 eV per atom

```
5
Lattice="4.818 0.000 0.000 0.000 4.818 0.000 0.000 0.000 5.037" Properties=species:S:1:pos:R:3 pbc="T T T"
Se 0.000 0.000 2.518
Fe 0.000 2.409 0.000
Fe 2.409 0.000 0.000
P 2.409 2.409 2.518
In 0.000 0.000 0.000
```



Record 12
This record from the Alexandria database describes a PBEsol-optimized structure of Rb2W3SeO12. The functional is meta-GGA SCAN.

Properties
**Formation energy (no corrections)**: -2.098 eV per atom

```
36
Lattice="7.262 0.000 0.000 -3.631 6.289 0.000 0.000 0.000 12.148" Properties=species:S:1:pos:R:3 pbc="T T T"
O -0.028 5.733 8.398
O 2.262 5.525 6.866
O 1.369 0.764 0.792
W 3.536 4.157 2.871
O 5.089 1.302 4.570
Se 0.000 0.000 0.049
W 5.463 1.149 2.871
W 1.737 5.306 8.945
O -2.285 5.486 6.866
O 5.915 0.803 0.792
O 3.609 4.721 0.792
O 1.363 0.755 9.082
O 5.926 0.803 9.082
O 3.659 0.556 2.325
O 2.214 1.231 4.570
Rb 3.631 2.096 6.897
O 4.951 2.891 2.325
Rb 3.631 2.096 11.592
W 0.095 2.132 8.945
Rb 0.000 4.193 5.518
O 0.041 2.533 10.644
O 0.022 1.568 6.866
O 3.604 4.731 9.082
Rb 0.000 4.193 0.823
O 3.590 3.756 4.570
W -1.832 5.140 8.945
W 1.894 0.983 2.871
O -1.458 4.987 10.644
O -2.295 5.486 3.008
O 0.027 1.558 3.008
O 2.268 5.534 3.008
Se 0.000 0.000 6.123
O 2.283 2.842 2.325
O -1.320 3.398 8.398
O 1.348 3.447 8.398
O 1.417 5.058 10.644
```